# 1
# KCa3Cd

A relaxed KCa3Cd crystal (PBE, Alexandria via LeMat-Bulk).

Structure (POSCAR):
```
KCa3Cd
1.0
6.1370 0.0000 0.0000
0.0000 6.1370 0.0000
0.0000 0.0000 6.1370
Ca Cd K
3 1 1
direct
0.0000 0.5000 0.0000
0.5000 0.0000 0.0000
0.0000 0.0000 0.5000
0.0000 0.0000 0.0000
0.5000 0.5000 0.5000
```

Properties
The calculation puts the spin magnetization at 0.0 μB per formula unit. The value obtained for the energy above the most stable polymorph in this dataset is 0 meV/atom. Its total DFT energy (no corrections) is -1.58 eV/atom. Its symmetry is Pm-3m.

# 2
# ZnAs2IrSe

A relaxed ZnAs2IrSe crystal (PBE, Alexandria via LeMat-Bulk).

Structure (POSCAR):
```
ZnAs2IrSe
1.0
4.6806 0.0000 0.0000
0.0000 4.6806 0.0000
0.0000 0.0000 5.5102
Zn As Se Ir
1 2 1 1
direct
0.5000 0.5000 0.5000
0.0000 0.5000 0.0000
0.5000 0.0000 0.0000
0.0000 0.0000 0.5000
0.0000 0.0000 0.0000
```

Properties
The calculation puts the spin magnetization at 0.0 μB per formula unit. The value obtained for the energy above the most stable polymorph in this dataset is 0 meV/atom. Its total DFT energy (no corrections) is -4.03 eV/atom. Its symmetry is P4/mmm. The calculation puts the raw formation energy at 551 meV per atom.

# 3
# Sm2HoErTe5

A relaxed Sm2HoErTe5 crystal (PBE, Alexandria via LeMat-Bulk).

Structure (POSCAR):
```
Sm2HoErTe5
1.0
-3.6641 1.7861 -3.7294
1.9301 -3.6681 -3.6530
-7.6056 -7.7482 3.7617
Te Er Sm Ho
5 1 2 1
direct
0.0000 0.5000 0.5000
0.0000 0.0000 0.2449
0.5000 0.5000 0.0000
0.0000 0.0000 0.7551
0.5000 0.0000 0.5000
0.0000 0.0000 0.0000
0.5000 0.5000 0.6586
0.5000 0.5000 0.3414
0.0000 0.0000 0.5000
```

Properties
The calculation puts the spin magnetization at 0.5 μB per formula unit. Its total DFT energy (no corrections) is -4.55 eV/atom. Its symmetry is P4/mmm. The calculation puts the raw formation energy at -738 meV per atom.

# 4
# Pm8Ni3SBr4

A relaxed Pm8Ni3SBr4 crystal (PBE, Alexandria via LeMat-Bulk).

Structure (POSCAR):
```
Pm8Ni3SBr4
1.0
8.1380 0.0000 0.0000
0.0000 8.8352 0.4880
-4.0690 -4.0674 5.7557
Br Ni Pm S
4 3 8 1
direct
0.0000 0.0000 0.0000
0.5000 0.0000 0.0000
0.0000 0.0000 0.5000
0.5000 0.0000 0.5000
0.5000 0.5000 0.0000
0.5000 0.5000 0.5000
0.0000 0.5000 0.5000
0.7623 0.2979 0.0356
0.2699 0.3099 0.5398
0.7623 0.2980 0.5246
0.7301 0.6901 0.4602
0.2732 0.2979 0.0356
0.2377 0.7021 0.9644
0.2377 0.7020 0.4754
0.7268 0.7021 0.9644
0.0000 0.5000 0.0000
```

Properties
The calculation puts the spin magnetization at 0.0 μB per formula unit. Its total DFT energy (no corrections) is -5.13 eV/atom. Its symmetry is R-3m. The calculation puts the raw formation energy at -994 meV per atom.

# 5
# OsPtSe2

A relaxed OsPtSe2 crystal (PBE, Alexandria via LeMat-Bulk).

Structure (POSCAR):
```
OsPtSe2
1.0
-0.9214 -3.4926 4.6504
5.8398 -0.6063 0.4501
1.1539 0.7096 2.3449
Os Se Pt
1 2 1
direct
0.5000 0.0000 0.5000
0.5000 0.5000 0.0000
0.0000 0.0000 0.0000
0.0000 0.5000 0.5000
```

Properties
The calculation puts the spin magnetization at 0.0 μB per formula unit. The value obtained for the energy above the most stable polymorph in this dataset is 369 meV/atom. Its total DFT energy (no corrections) is -5.53 eV/atom. Its symmetry is C2/m. The calculation puts the raw formation energy at 535 meV per atom.

# 6
# Pm2Al3Pt12Rh

A relaxed Pm2Al3Pt12Rh crystal (PBE, Alexandria via LeMat-Bulk).

Structure (POSCAR):
```
Pm2Al3Pt12Rh
1.0
7.9166 -0.0798 -0.0566
3.8402 6.9233 -0.0566
3.8402 2.2353 6.5527
Rh Al Pt Pm
1 3 12 2
direct
0.0000 0.0000 0.0000
0.5000 0.0000 0.0000
0.0000 0.0000 0.5000
0.0000 0.5000 0.0000
0.8671 0.3857 0.8671
0.6289 0.6289 0.1177
0.6143 0.1329 0.1329
0.3711 0.8823 0.3711
0.1177 0.6289 0.6289
0.1329 0.1329 0.6143
0.1329 0.6143 0.1329
0.3857 0.8671 0.8671
0.8671 0.8671 0.3857
0.8823 0.3711 0.3711
0.3711 0.3711 0.8823
0.6289 0.1177 0.6289
0.3810 0.3810 0.3810
0.6190 0.6190 0.6190
```

Properties
The calculation puts the spin magnetization at 0.0 μB per formula unit. Its total DFT energy (no corrections) is -5.97 eV/atom. Its symmetry is R-3m.

# 7
# ScTiOs

A relaxed ScTiOs crystal (PBE, Alexandria via LeMat-Bulk).

Structure (POSCAR):
```
ScTiOs
1.0
4.7910 -0.0310 -2.0983
-2.8564 4.3177 -0.7455
-0.1920 0.0310 5.2268
Sc Os Ti
2 2 2
direct
0.7500 0.8915 0.6415
0.2500 0.1085 0.3585
0.0000 0.5000 0.0000
0.5000 0.0000 0.0000
0.5000 0.5000 0.0000
0.0000 0.5000 0.5000
```

Properties
The calculation puts the spin magnetization at 0.0 μB per formula unit. The value obtained for the energy above the most stable polymorph in this dataset is 0 meV/atom. Its total DFT energy (no corrections) is -8.89 eV/atom. Its symmetry is Imma.

# 8
# MnBeTe2N

A relaxed MnBeTe2N crystal (PBE, Alexandria via LeMat-Bulk).

Structure (POSCAR):
```
MnBeTe2N
1.0
-0.6014 -3.1408 4.1538
-0.6793 -4.0984 -3.1972
3.0049 -0.5267 0.0368
Te N Mn Be
2 1 1 1
direct
0.5000 0.0000 0.0000
0.0000 0.5000 0.0000
0.0000 0.0000 0.5000
0.5000 0.5000 0.5000
0.0000 0.0000 0.0000
```

Properties
The calculation puts the spin magnetization at 0.2 μB per formula unit. The value obtained for the energy above the most stable polymorph in this dataset is 269 meV/atom. Its total DFT energy (no corrections) is -4.75 eV/atom. Its symmetry is P4/mmm. The calculation puts the raw formation energy at 752 meV per atom.

# 9
# RbInGaI3

A relaxed RbInGaI3 crystal (PBE, Alexandria via LeMat-Bulk).

Structure (POSCAR):
```
RbInGaI3
1.0
-1.1866 2.4153 -4.1601
-9.2333 -3.6894 0.4916
0.8393 10.4365 5.8200
Rb I Ga In
2 6 2 2
direct
0.7500 0.7861 0.7718
0.2500 0.2139 0.2282
0.7500 0.4493 0.1439
0.7500 0.9142 0.1042
0.2500 0.5507 0.8561
0.2500 0.8238 0.5276
0.2500 0.0858 0.8958
0.7500 0.1762 0.4724
0.2500 0.1593 0.6465
0.7500 0.8407 0.3535
0.7500 0.3014 0.8572
0.2500 0.6986 0.1428
```

Properties
The calculation puts the spin magnetization at 0.0 μB per formula unit. Its total DFT energy (no corrections) is -2.63 eV/atom. Its symmetry is P2_1/m. The calculation puts the raw formation energy at -732 meV per atom.

# 10
# BaCaAl2

A relaxed BaCaAl2 crystal (PBE, Alexandria via LeMat-Bulk).

Structure (POSCAR):
```
BaCaAl2
1.0
3.9661 0.0000 0.0000
0.0000 3.9748 0.0012
0.0000 3.9732 7.7735
Ba Al Ca
1 2 1
direct
0.5000 0.2500 0.2500
0.0000 0.4430 0.5569
0.0000 0.0570 0.9430
0.5000 0.7500 0.7500
```

Properties
The calculation puts the spin magnetization at 0.0 μB per formula unit. The value obtained for the energy above the most stable polymorph in this dataset is 51 meV/atom. Its total DFT energy (no corrections) is -2.99 eV/atom. Its symmetry is P4/mmm.